Hg2HPb4, optimized geometry, DFT GGA-PBE; total magnetic moment = 0.0 μB/f.u.; VASP energy = -2.50 eV/atom; symmetry = I4/mmm, No. 139; ρ = 10.8 g cm⁻³
1.0
-2.416 2.416 8.072
2.416 -2.416 8.072
2.416 2.416 -8.072
Hg H Pb
2 1 4
Direct
0.146 0.146 0.000
0.854 0.854 0.000
0.500 0.500 0.000
0.000 0.500 0.500
0.334 0.334 0.000
0.500 0.000 0.500
0.666 0.666 0.000